Nb3SeN GGA-PBE optimized geometry; energy relative to the elements, uncorrected = -0.2777 eV per atom; volume = 15.69 Å³/atom; electronic total energy = -8.682 eV per atom; space-group type = Pm-3m, No. 221; magnetic moment = 0.0 μB per cell
1.0
4.281 0.000 0.000
0.000 4.281 0.000
0.000 0.000 4.281
Nb Se N
3 1 1
direct
0.000 0.000 0.500 Nb
0.000 0.500 0.000 Nb
0.500 0.000 0.000 Nb
0.500 0.500 0.500 Se
0.000 0.000 0.000 N